No. 1
# PBE NbTe2Ir, relaxed
# VASP energy, eV per cell: -72.4
# Uncorrected formation energy, eV per formula unit: 1.08
# ΔE to the lowest computed polymorph, meV per atom: 646.1
# M_tot, μB per formula unit: 0.0
data_NbTe2Ir
_chemical_formula_sum 'Nb3 Te6 Ir3'
_cell_length_a 3.3957
_cell_length_b 3.3957
_cell_length_c 27.0404
_cell_angle_alpha 90.00
_cell_angle_beta 90.00
_cell_angle_gamma 120.00
_space_group_name_H-M_alt 'R -3 m'
_space_group_IT_number 166
_space_group_name_Hall '-R 3 2"'
loop_
_atom_site_label
_atom_site_type_symbol
_atom_site_fract_x
_atom_site_fract_y
_atom_site_fract_z
Nb1 Nb 0.0000 0.0000 0.0000
Te1 Te 0.0000 0.0000 0.4063
Ir1 Ir 0.0000 0.0000 0.5000

No. 2
# PBE AlInBr2, relaxed
# VASP energy, eV per cell: -32.8
# Uncorrected formation energy, eV per formula unit: -1.12
# ΔE to the lowest computed polymorph, meV per atom: 200.1
# M_tot, μB per formula unit: 0.0
data_AlInBr2
_chemical_formula_sum 'Al3 In3 Br6'
_cell_length_a 3.8333
_cell_length_b 3.8333
_cell_length_c 29.3148
_cell_angle_alpha 90.00
_cell_angle_beta 90.00
_cell_angle_gamma 120.00
_space_group_name_H-M_alt 'R -3 m'
_space_group_IT_number 166
_space_group_name_Hall '-R 3 2"'
loop_
_atom_site_label
_atom_site_type_symbol
_atom_site_fract_x
_atom_site_fract_y
_atom_site_fract_z
Al1 Al 0.0000 0.0000 0.0000
In1 In 0.0000 0.0000 0.5000
Br1 Br 0.0000 0.0000 0.3938

No. 3
# PBE AcPmHoZn, relaxed
# E_form, eV per atom: 0.173
# VASP energy, eV per cell: -56.1
# M_tot, μB per formula unit: 0.0
data_AcPmHoZn
_chemical_formula_sum 'Ac4 Pm4 Ho4 Zn4'
_cell_length_a 7.868
_cell_length_b 7.868
_cell_length_c 7.868
_cell_angle_alpha 90.00
_cell_angle_beta 90.00
_cell_angle_gamma 90.00
_space_group_name_H-M_alt 'F -4 3 m'
_space_group_IT_number 216
_space_group_name_Hall 'F -4 2 3'
loop_
_atom_site_label
_atom_site_type_symbol
_atom_site_fract_x
_atom_site_fract_y
_atom_site_fract_z
Ac1 Ac 0.000 0.000 0.000
Pm1 Pm 0.250 0.250 0.750
Ho1 Ho 0.250 0.250 0.250
Zn1 Zn 0.000 0.000 0.500

| no. | V (Å³/f.u.) |
| --- | --- |
| 1 | 90 |
| 2 | 124 |
| 3 | 122 |